[1]
Below is PrSnI2 after structural relaxation, with properties calculated at the PBE level.

Crystal system   trigonal
Symmetry   R-3m
Energy relative to the elements, uncorrected   -259 kJ/mol of formula units
Total moment   0.0 μB per formula unit

POSCAR file:
```
PrSnI2
1.0
1.9746 1.1400 11.0795
-1.9746 1.1400 11.0795
0.0000 -2.2800 11.0795
Pr Sn I
1 1 2
Direct
0.0000 0.0000 0.0000
0.5000 0.5000 0.5000
0.4017 0.4017 0.4017
0.5983 0.5983 0.5983
```

***

[2]
Below is P2WSe after structural relaxation, with properties calculated at the PBE level.

Crystal system   monoclinic
Symmetry   Pm
Energy relative to the elements, uncorrected   84 kJ/mol of formula units
Total moment   0.0 μB per formula unit

POSCAR file:
```
P2WSe
1.0
4.2680 0.0000 0.0000
0.0000 4.4269 0.0000
-1.9974 0.0000 3.7803
P W Se
2 1 1
Direct
0.0000 0.0000 0.0000
0.2056 0.5000 0.7966
0.8467 0.5000 0.1554
0.6330 0.0000 0.3698
```

***

[3]
Below is Sr2CoAs after structural relaxation, with properties calculated at the PBE level.

Crystal system   orthorhombic
Symmetry   Cmmm
Energy relative to the elements   -0.66 eV per formula unit
Total moment   1.9 μB per formula unit

POSCAR file:
```
Sr2CoAs
1.0
3.6519 -3.6567 0.0000
3.6519 3.6567 0.0000
0.0000 0.0000 4.0129
Sr Co As
2 1 1
Direct
0.0000 0.5000 0.0000
0.5000 0.0000 0.0000
0.0000 0.0000 0.5000
0.5000 0.5000 0.5000
```

***

[4]
Below is Fe2MoBr after structural relaxation, with properties calculated at the PBE level.

Excess energy over the best structure of this formula in the dataset   53.7 kJ/mol of formula units
Crystal system   trigonal
Symmetry   R-3m
Energy relative to the elements, uncorrected   217 kJ/mol of formula units
Total moment   5.2 μB per formula unit

POSCAR file:
```
Fe2MoBr
1.0
1.5039 0.8683 8.0403
-1.5039 0.8683 8.0403
0.0000 -1.7366 8.0403
Fe Mo Br
2 1 1
Direct
0.2470 0.2470 0.2470
0.7530 0.7530 0.7530
0.5000 0.5000 0.5000
0.0000 0.0000 0.0000
```

***

[5]
Below is KHgPt2 after structural relaxation, with properties calculated at the PBE level.

Crystal system   orthorhombic
Symmetry   Cmmm
Energy relative to the elements   0.87 eV per formula unit
Total moment   0.0 μB per formula unit

POSCAR file:
```
KHgPt2
1.0
3.0141 -4.5000 0.0000
3.0141 4.5000 0.0000
0.0000 0.0000 2.9106
K Hg Pt
1 1 2
Direct
0.0000 0.0000 0.0000
0.5000 0.5000 0.0000
0.0000 0.5000 0.5000
0.5000 0.0000 0.5000
```

***

[6]
Below is SmDyPt4 after structural relaxation, with properties calculated at the PBE level.

Crystal system   cubic
Symmetry   F-43m
Energy relative to the elements   -6.64 eV per formula unit
Total moment   0.0 μB per formula unit

POSCAR file:
```
SmDyPt4
1.0
0.0000 3.8611 3.8611
3.8611 0.0000 3.8611
3.8611 3.8611 0.0000
Sm Dy Pt
1 1 4
Direct
0.0000 0.0000 0.0000
0.7500 0.7500 0.7500
0.3752 0.3752 0.3752
0.3752 0.3752 0.8743
0.3752 0.8743 0.3752
0.8743 0.3752 0.3752
```

***

Which of these has the highest total moment?
Fe2MoBr